[1]
AcHo2TaN4: optimized geometry, PBE.

Output
Crystal system: orthorhombic
Calculated total energy (eV/f.u.): -68.7
Formation energy from raw total energies (meV per atom): -1285
Magnetization (μB per formula unit): 0.00

Cell: 3.479 6.385 12.075 Å, 90.00 90.00 105.81°
Positions (direct):
1 Ta 0.830 0.659 0.750
2 Ta 0.170 0.341 0.250
3 N 0.260 0.520 0.117
4 N 0.260 0.520 0.383
5 N 0.000 0.000 0.500
6 N 0.000 0.000 0.000
7 N 0.740 0.480 0.883
8 N 0.425 0.850 0.750
9 N 0.740 0.480 0.617
10 N 0.575 0.150 0.250
11 Ho 0.628 0.257 0.036
12 Ho 0.372 0.743 0.964
13 Ho 0.372 0.743 0.536
14 Ho 0.628 0.257 0.464
15 Ac 0.090 0.180 0.750
16 Ac 0.910 0.820 0.250

[2]
AcHoTaN3: optimized geometry, PBE.

Output
Crystal system: monoclinic
Calculated total energy (eV/f.u.): -52.1
Formation energy from raw total energies (meV per atom): -1094
Magnetization (μB per formula unit): 0.00

Cell: 3.458 9.455 7.134 Å, 94.18 90.00 90.00°
Positions (direct):
1 Ho 0.250 0.580 0.182
2 Ho 0.750 0.420 0.818
3 Ta 0.250 0.114 0.602
4 Ta 0.750 0.886 0.398
5 N 0.250 0.874 0.559
6 N 0.250 0.256 0.803
7 N 0.250 0.600 0.869
8 N 0.750 0.400 0.131
9 N 0.750 0.126 0.441
10 N 0.750 0.744 0.197
11 Ac 0.750 0.795 0.850
12 Ac 0.250 0.205 0.150

[3]
AcHo2TcN4: optimized geometry, PBE.

Output
Crystal system: orthorhombic
Calculated total energy (eV/f.u.): -65.5
Formation energy from raw total energies (meV per atom): -1075
Magnetization (μB per formula unit): 0.00

Cell: 3.525 6.215 11.698 Å, 90.00 90.00 106.47°
Positions (direct):
1 Ac 0.892 0.783 0.250
2 Ac 0.108 0.217 0.750
3 N 0.739 0.477 0.621
4 N 0.261 0.523 0.121
5 N 0.000 0.000 0.500
6 N 0.739 0.477 0.879
7 N 0.426 0.852 0.750
8 N 0.000 0.000 0.000
9 N 0.261 0.523 0.379
10 N 0.574 0.148 0.250
11 Ho 0.632 0.263 0.459
12 Ho 0.368 0.737 0.959
13 Ho 0.368 0.737 0.541
14 Ho 0.632 0.263 0.041
15 Tc 0.847 0.693 0.750
16 Tc 0.153 0.307 0.250